# RbZrAs

Crystalline RbZrAs at its relaxed geometry (PBE, OQMD via LeMat-Bulk).

Cell and atoms, written as POSCAR:
```
RbZrAs
1.0
3.835 0.609 3.290
-0.820 -0.545 4.993
1.901 -4.026 2.466
Rb Zr As
1 1 1
direct
0.000 0.000 0.000
0.750 0.750 0.750
0.250 0.250 0.250
```

Values from the calculation:
As for the total DFT energy (no corrections): -0.2490 Ry/atom. The total moment comes out at 2.0 μB per formula unit. As for the space group: F-43m.

# RbZrAs

Crystalline RbZrAs at its relaxed geometry (PBE, OQMD via LeMat-Bulk).

Cell and atoms, written as POSCAR:
```
RbZrAs
1.0
0.000 3.575 3.575
3.575 0.000 3.575
3.575 3.575 0.000
Rb Zr As
1 1 1
direct
0.250 0.250 0.250
0.750 0.750 0.750
0.000 0.000 0.000
```

Values from the calculation:
As for the total DFT energy (no corrections): -0.3164 Ry/atom. The total moment comes out at 2.0 μB per formula unit. As for the space group: F-43m.

# ReAs2

Crystalline ReAs2 at its relaxed geometry (PBE, OQMD via LeMat-Bulk).

Cell and atoms, written as POSCAR:
```
ReAs2
1.0
-4.778 -3.987 4.199
-7.088 -0.972 -2.276
-2.303 -6.757 -2.325
As Re
4 2
direct
0.125 0.625 0.125
0.125 0.125 0.125
0.125 0.125 0.625
0.625 0.125 0.125
0.250 0.250 0.250
0.000 0.000 0.000
```

Values from the calculation:
As for the total DFT energy (no corrections): -0.4884 Ry/atom. The total moment comes out at 0.0 μB per formula unit. As for the space group: Fd-3m.

# Re4As3

Crystalline Re4As3 at its relaxed geometry (PBE, OQMD via LeMat-Bulk).

Cell and atoms, written as POSCAR:
```
Re4As3
1.0
3.620 -5.923 8.174
6.582 -6.078 5.892
6.147 -3.162 8.198
As Re
3 4
direct
0.416 0.416 0.416
0.998 0.998 0.998
0.580 0.580 0.580
0.698 0.698 0.698
0.147 0.147 0.147
0.297 0.297 0.297
0.849 0.849 0.849
```

Values from the calculation:
As for the total DFT energy (no corrections): -0.6059 Ry/atom. The total moment comes out at 0.0 μB per formula unit. As for the space group: R3m.

# ReAs2

Crystalline ReAs2 at its relaxed geometry (PBE, OQMD via LeMat-Bulk).

Cell and atoms, written as POSCAR:
```
ReAs2
1.0
0.000 3.709 3.709
3.709 0.000 3.709
3.709 3.709 0.000
As Re
4 2
direct
0.625 0.625 0.125
0.125 0.625 0.625
0.625 0.125 0.625
0.625 0.625 0.625
0.250 0.250 0.250
0.000 0.000 0.000
```

Values from the calculation:
As for the total DFT energy (no corrections): -0.4301 Ry/atom. The total moment comes out at 0.4 μB per formula unit. As for the space group: Fd-3m.

# ReAs2

Crystalline ReAs2 at its relaxed geometry (PBE, OQMD via LeMat-Bulk).

Cell and atoms, written as POSCAR:
```
ReAs2
1.0
0.000 3.019 3.019
3.019 0.000 3.019
3.019 3.019 0.000
Re As
1 2
direct
0.000 0.000 0.000
0.250 0.250 0.250
0.750 0.750 0.750
```

Values from the calculation:
As for the total DFT energy (no corrections): -0.5085 Ry/atom. The total moment comes out at 0.0 μB per formula unit. As for the space group: Fm-3m.

# ReAs2

Crystalline ReAs2 at its relaxed geometry (PBE, OQMD via LeMat-Bulk).

Cell and atoms, written as POSCAR:
```
ReAs2
1.0
4.434 -1.802 0.000
4.434 1.802 0.000
-3.865 0.000 6.465
Re As
2 4
direct
0.350 0.350 0.298
0.650 0.650 0.702
0.905 0.905 0.607
0.095 0.095 0.393
0.654 0.654 0.045
0.346 0.346 0.955
```

Values from the calculation:
As for the total DFT energy (no corrections): -0.5268 Ry/atom. The total moment comes out at 0.0 μB per formula unit. As for the space group: C2/m.

# Re3As7

Crystalline Re3As7 at its relaxed geometry (PBE, OQMD via LeMat-Bulk).

Cell and atoms, written as POSCAR:
```
Re3As7
1.0
-4.422 -4.422 4.422
-4.422 4.422 -4.422
4.422 -4.422 -4.422
As Re
14 6
direct
0.500 0.750 0.250
0.500 0.250 0.750
0.750 0.250 0.500
0.332 0.332 0.332
0.250 0.750 0.500
0.000 0.668 0.000
0.000 0.000 0.332
0.750 0.500 0.250
0.000 0.000 0.668
0.000 0.332 0.000
0.250 0.500 0.750
0.668 0.668 0.668
0.332 0.000 0.000
0.668 0.000 0.000
0.340 0.340 0.000
0.000 0.660 0.660
0.660 0.660 0.000
0.340 0.000 0.340
0.660 0.000 0.660
0.000 0.340 0.340
```

Values from the calculation:
As for the total DFT energy (no corrections): -0.5185 Ry/atom. The total moment comes out at 0.0 μB per formula unit. As for the space group: Im-3m.